A plane-wave DFT calculation with PBE-GGA was carried out for Tc3Os2Rh after structural relaxation.

Cell: 2.736 7.753 9.160 Å, 104.62 89.96 110.64°
Sites, in units of the cell vectors:
Tc 0.280 0.781 0.085
Tc 0.720 0.219 0.915
Tc 0.516 0.516 0.865
Tc 0.283 0.284 0.588
Tc 0.484 0.484 0.135
Tc 0.717 0.716 0.412
Os 0.879 0.879 0.859
Os 0.121 0.121 0.141
Os 0.882 0.383 0.359
Os 0.118 0.617 0.641
Rh 0.482 0.982 0.637
Rh 0.518 0.018 0.363

Computed properties:
D(E_F) ... 0.86 states/eV per atom
Total DFT energy (no corrections) ... -10.1205 eV per atom
Energy of formation ... 0.03 eV per atom

***

A plane-wave DFT calculation with PBE-GGA was carried out for TcOs2Rh after structural relaxation.

Cell: 3.878 8.602 8.601 Å, 53.18 90.00 90.00°
Sites, in units of the cell vectors:
Os 0.250 0.694 0.183
Os 0.750 0.186 0.186
Os 0.250 0.306 0.317
Os 0.750 0.306 0.817
Os 0.250 0.814 0.814
Os 0.750 0.814 0.314
Os 0.250 0.186 0.686
Os 0.750 0.694 0.683
Rh 0.250 0.435 0.938
Rh 0.250 0.565 0.562
Rh 0.750 0.565 0.062
Rh 0.750 0.435 0.438
Tc 0.250 0.938 0.438
Tc 0.250 0.062 0.062
Tc 0.750 0.062 0.562
Tc 0.750 0.938 0.938

Computed properties:
Energy above the lowest structure with this stoichiometry ... 19 meV/atom
D(E_F) ... 1.06 states/eV per atom
Total DFT energy (no corrections) ... -9.9879 eV per atom
Energy of formation ... 0.06 eV per atom